Model 1:
This record from Alexandria describes an optimized crystal structure of SmDy4Tm3. The functional is PBE.

Values from the calculation:
Total magnetization ... 0.00 μB/cell
Volume ... 514.0 Å³/cell

a b c (Å): 5.6017 25.9023 3.5421
angles (deg): 90.00 90.00 90.00
Closest atoms and distances in Å follow each position.
Fractional positions:
Sm1 0.0000 0.0000 0.0000  4 Dy 3.24, 4 Tm 3.31, 2 Sm 3.54
Sm2 0.5000 0.5000 0.0000  4 Dy 3.24, 4 Tm 3.31, 2 Sm 3.54
Dy1 0.0000 0.1047 0.5000  1 Dy 3.09, 2 Sm 3.24
Dy2 0.0000 0.2238 0.5000  3 Dy 3.09-3.11
Dy3 0.0000 0.7762 0.5000  3 Dy 3.09-3.11
Dy4 0.0000 0.8953 0.5000  1 Dy 3.09, 2 Sm 3.24
Dy5 0.5000 0.2762 0.5000  3 Dy 3.09-3.11
Dy6 0.5000 0.3953 0.5000  1 Dy 3.09, 2 Sm 3.24
Dy7 0.5000 0.6047 0.5000  1 Dy 3.09, 2 Sm 3.24
Dy8 0.5000 0.7238 0.5000  3 Dy 3.09-3.11
Tm1 0.0000 0.3443 0.0000  2 Tm 3.54, 10 Dy 3.57-3.75
Tm2 0.0000 0.5000 0.5000  4 Sm 3.31, 2 Tm 3.54
Tm3 0.0000 0.6557 0.0000  2 Tm 3.54, 10 Dy 3.57-3.75
Tm4 0.5000 0.0000 0.5000  4 Sm 3.31, 2 Tm 3.54
Tm5 0.5000 0.1557 0.0000  2 Tm 3.54, 10 Dy 3.57-3.75
Tm6 0.5000 0.8443 0.0000  2 Tm 3.54, 10 Dy 3.57-3.75

---

Model 2:
This record from Alexandria describes an optimized crystal structure of SmDy4Tm3. The functional is PBE.

Values from the calculation:
Total magnetization ... 0.00 μB/cell
Volume ... 505.5 Å³/cell

a b c (Å): 11.1912 7.2304 6.2469
angles (deg): 90.00 90.00 90.00
Closest atoms and distances in Å follow each position.
Fractional positions:
Sm1 0.0000 0.1248 0.0000  6 Tm 3.49-3.61, 6 Dy 3.51-3.62
Sm2 0.5000 0.8752 0.5000  6 Tm 3.49-3.61, 6 Dy 3.51-3.62
Dy1 0.0000 0.3744 0.5010  6 Dy 3.48-3.63, 4 Tm 3.49-3.62, 2 Sm 3.60-3.61
Dy2 0.0000 0.6260 0.9983  6 Dy 3.48-3.63, 4 Tm 3.49-3.62, 2 Sm 3.61-3.62
Dy3 0.2482 0.6253 0.3334  5 Tm 3.48-3.62, 6 Dy 3.48-3.61, 1 Sm 3.51
Dy4 0.2518 0.3747 0.8334  5 Tm 3.48-3.62, 6 Dy 3.48-3.61, 1 Sm 3.51
Dy5 0.5000 0.3740 0.4983  6 Dy 3.48-3.63, 4 Tm 3.49-3.62, 2 Sm 3.61-3.62
Dy6 0.5000 0.6256 0.0010  6 Dy 3.48-3.63, 4 Tm 3.49-3.62, 2 Sm 3.60-3.61
Dy7 0.7482 0.3747 0.8334  5 Tm 3.48-3.62, 6 Dy 3.48-3.61, 1 Sm 3.51
Dy8 0.7518 0.6253 0.3334  5 Tm 3.48-3.62, 6 Dy 3.48-3.61, 1 Sm 3.51
Tm1 0.0000 0.8757 0.5002  6 Dy 3.48-3.62, 4 Tm 3.49, 2 Sm 3.60-3.61
Tm2 0.2500 0.1245 0.3331  6 Dy 3.49-3.62, 4 Tm 3.49-3.61, 2 Sm 3.49
Tm3 0.2500 0.8755 0.8331  6 Dy 3.49-3.62, 4 Tm 3.49-3.61, 2 Sm 3.49
Tm4 0.5000 0.1243 0.0002  6 Dy 3.48-3.62, 4 Tm 3.49, 2 Sm 3.60-3.61
Tm5 0.7500 0.1245 0.3331  6 Dy 3.49-3.62, 4 Tm 3.49-3.61, 2 Sm 3.49
Tm6 0.7500 0.8755 0.8331  6 Dy 3.49-3.62, 4 Tm 3.49-3.61, 2 Sm 3.49

---

Relative to the most stable one, in eV/atom, the structures come out at model 1 0.220; model 2 0.000.

---

Model 1:
This record from Alexandria describes an optimized crystal structure of Sm7Dy12Tm. The functional is PBE.

Values from the calculation:
Total magnetization ... 0.00 μB/cell
Volume ... 716.9 Å³/cell

a b c (Å): 9.7653 9.7653 9.7653
angles (deg): 109.47 109.47 109.47
Closest atoms and distances in Å follow each position.
Fractional positions:
Sm1 0.0000 0.0000 0.5000  6 Dy 2.82
Sm2 0.0000 0.5000 0.0000  6 Dy 2.82
Sm3 0.0000 0.5000 0.5000  12 Dy 3.99-4.04
Sm4 0.5000 0.0000 0.0000  6 Dy 2.82
Sm5 0.5000 0.0000 0.5000  12 Dy 3.99-4.04
Sm6 0.5000 0.5000 0.0000  12 Dy 3.99-4.04
Sm7 0.5000 0.5000 0.5000  6 Dy 2.82
Dy1 0.0000 0.2464 0.7536  2 Sm 2.82
Dy2 0.0000 0.7536 0.2464  2 Sm 2.82
Dy3 0.2464 0.0000 0.7536  2 Sm 2.82
Dy4 0.2464 0.2464 0.4928  2 Sm 2.82
Dy5 0.2464 0.4928 0.2464  2 Sm 2.82
Dy6 0.2464 0.7536 0.0000  2 Sm 2.82
Dy7 0.4928 0.2464 0.2464  2 Sm 2.82
Dy8 0.5072 0.7536 0.7536  2 Sm 2.82
Dy9 0.7536 0.0000 0.2464  2 Sm 2.82
Dy10 0.7536 0.2464 0.0000  2 Sm 2.82
Dy11 0.7536 0.5072 0.7536  2 Sm 2.82
Dy12 0.7536 0.7536 0.5072  2 Sm 2.82
Tm1 0.0000 0.0000 0.0000  12 Dy 3.93

---

Model 2:
This record from Alexandria describes an optimized crystal structure of Sm7Dy12Tm. The functional is PBE.

Values from the calculation:
Total magnetization ... 0.00 μB/cell
Volume ... 667.3 Å³/cell

a b c (Å): 8.7580 8.7580 8.7580
angles (deg): 86.10 86.10 86.10
Closest atoms and distances in Å follow each position.
Fractional positions:
Sm1 0.0000 0.0000 0.0000  6 Dy 3.30
Sm2 0.1012 0.4227 0.3464  3 Sm 3.43-3.48, 7 Dy 3.47-3.80
Sm3 0.3464 0.1012 0.4227  3 Sm 3.43-3.48, 7 Dy 3.47-3.80
Sm4 0.4227 0.3464 0.1012  3 Sm 3.43-3.48, 7 Dy 3.47-3.80
Sm5 0.5773 0.6536 0.8988  3 Sm 3.43-3.48, 7 Dy 3.47-3.80
Sm6 0.6536 0.8988 0.5773  3 Sm 3.43-3.48, 7 Dy 3.47-3.80
Sm7 0.8988 0.5773 0.6536  3 Sm 3.43-3.48, 7 Dy 3.47-3.80
Dy1 0.0031 0.8830 0.3656  4 Dy 3.22-3.43, 2 Sm 3.30-3.47
Dy2 0.1170 0.6344 0.9969  4 Dy 3.22-3.43, 2 Sm 3.30-3.47
Dy3 0.2289 0.3529 0.7523  4 Dy 3.26-3.62, 1 Tm 3.39, 2 Sm 3.51-3.59
Dy4 0.2477 0.7711 0.6471  4 Dy 3.26-3.62, 1 Tm 3.39, 2 Sm 3.51-3.59
Dy5 0.3529 0.7523 0.2289  4 Dy 3.26-3.62, 1 Tm 3.39, 2 Sm 3.51-3.59
Dy6 0.3656 0.0031 0.8830  4 Dy 3.22-3.43, 2 Sm 3.30-3.47
Dy7 0.6344 0.9969 0.1170  4 Dy 3.22-3.43, 2 Sm 3.30-3.47
Dy8 0.6471 0.2477 0.7711  4 Dy 3.26-3.62, 1 Tm 3.39, 2 Sm 3.51-3.59
Dy9 0.7523 0.2289 0.3529  4 Dy 3.26-3.62, 1 Tm 3.39, 2 Sm 3.51-3.59
Dy10 0.7711 0.6471 0.2477  4 Dy 3.26-3.62, 1 Tm 3.39, 2 Sm 3.51-3.59
Dy11 0.8830 0.3656 0.0031  4 Dy 3.22-3.43, 2 Sm 3.30-3.47
Dy12 0.9969 0.1170 0.6344  4 Dy 3.22-3.43, 2 Sm 3.30-3.47
Tm1 0.5000 0.5000 0.5000  6 Dy 3.39

---

Relative to the most stable one, in eV/atom, the structures come out at model 1 0.429; model 2 0.000.